The following is a GGA-PBE calculation of a geometry-optimized Ce2DyPN5 structure, from Alexandria via LeMat-Bulk. Values from VASP.

Computed properties:
Raw total energy ... -8.02 eV/atom
Magnetic moment ... 0.0 μB per formula unit
E_form (uncorrected) ... -8.6 eV/f.u.
Density of states at the Fermi level ... 9.6 states/eV/cell
Space group ... No. 127

```
&SYSTEM
  ibrav = 0, nat = 18, ntyp = 4
/
ATOMIC_SPECIES
N 14.01 N.upf
P 30.97 P.upf
Ce 140.12 Ce.upf
Dy 162.50 Dy.upf
ATOMIC_POSITIONS angstrom
N -3.1594 3.8843 0.8158
N -3.2882 1.6061 5.0253
N -0.4634 3.4946 6.1338
N -1.2315 2.3608 -0.8836
N -1.8114 3.6894 3.4748
N 1.0641 3.0916 2.9277
N -1.7607 1.2031 1.8192
N -1.8621 6.1758 5.1303
N -0.3346 5.7727 1.9242
N -4.6869 4.2873 4.0218
P 1.7530 1.7122 2.1315
P -2.3329 -0.3836 2.2268
Ce -3.7706 2.4495 2.8927
Ce 0.1478 4.9293 4.0568
Ce -0.9311 3.3279 1.2818
Ce -2.6917 4.0509 5.6677
Dy -0.5799 1.3287 4.3583
Dy 0.0000 0.0000 0.0000
CELL_PARAMETERS angstrom
-2.4631 4.7216 -1.7671
-4.6658 -0.7672 4.4536
3.5061 3.4245 4.2630
```